# MnSb2Cl (SCAN, single point on PBEsol structure)
# E above lowest polymorph in meV per atom: 234
# Mass density in kg/m3: 6258
# Calculated total energy in eV/atom: -25.16
# Density of states at the Fermi level in states/eV per cell: 2.00
data_MnSb2Cl
_chemical_formula_sum 'Mn1 Sb2 Cl1'
_cell_length_a 3.2176
_cell_length_b 4.8920
_cell_length_c 5.6286
_cell_angle_alpha 90.00
_cell_angle_beta 90.00
_cell_angle_gamma 90.00
_symmetry_space_group_name_H-M 'P 1'
_symmetry_Int_Tables_number 1
_symmetry_space_group_name_Hall 'P 1'
loop_
_atom_site_label
_atom_site_type_symbol
_atom_site_fract_x
_atom_site_fract_y
_atom_site_fract_z
_atom_site_occupancy
Mn1 Mn 0.0000 0.0000 0.0000 1
Sb1 Sb 0.0000 0.5000 0.5000 1
Sb2 Sb 0.5000 0.5000 0.0000 1
Cl1 Cl 0.5000 0.0000 0.5000 1

---

# Hf2Al2Ag (SCAN, single point on PBEsol structure)
# E_form in meV/atom: -344
# Mass density in kg/m3: 9496
# Calculated total energy in eV/atom: -34.79
# Density of states at the Fermi level in states/eV per cell: 3.64
data_Hf2Al2Ag
_chemical_formula_sum 'Hf4 Al4 Ag2'
_cell_length_a 6.5349
_cell_length_b 6.5349
_cell_length_c 4.2487
_cell_angle_alpha 90.00
_cell_angle_beta 90.00
_cell_angle_gamma 90.00
_symmetry_space_group_name_H-M 'P 1'
_symmetry_Int_Tables_number 1
_symmetry_space_group_name_Hall 'P 1'
loop_
_atom_site_label
_atom_site_type_symbol
_atom_site_fract_x
_atom_site_fract_y
_atom_site_fract_z
_atom_site_occupancy
Hf1 Hf 0.1630 0.3370 0.0000 1
Hf2 Hf 0.3370 0.8370 0.0000 1
Hf3 Hf 0.6630 0.1630 0.0000 1
Hf4 Hf 0.8370 0.6630 0.0000 1
Al1 Al 0.1376 0.6376 0.5000 1
Al2 Al 0.3624 0.1376 0.5000 1
Al3 Al 0.6376 0.8624 0.5000 1
Al4 Al 0.8624 0.3624 0.5000 1
Ag1 Ag 0.0000 0.0000 0.5000 1
Ag2 Ag 0.5000 0.5000 0.5000 1

---

# Y3PtRh (SCAN, single point on PBEsol structure)
# E_form in meV/atom: -253
# Mass density in kg/m3: 6548
# Calculated total energy in eV/atom: -37.75
# Density of states at the Fermi level in states/eV per cell: 2.89
data_Y3PtRh
_chemical_formula_sum 'Y3 Pt1 Rh1'
_cell_length_a 5.2320
_cell_length_b 5.2320
_cell_length_c 5.2320
_cell_angle_alpha 90.00
_cell_angle_beta 90.00
_cell_angle_gamma 90.00
_symmetry_space_group_name_H-M 'P 1'
_symmetry_Int_Tables_number 1
_symmetry_space_group_name_Hall 'P 1'
loop_
_atom_site_label
_atom_site_type_symbol
_atom_site_fract_x
_atom_site_fract_y
_atom_site_fract_z
_atom_site_occupancy
Y1 Y 0.0000 0.0000 0.5000 1
Y2 Y 0.0000 0.5000 0.0000 1
Y3 Y 0.5000 0.0000 0.0000 1
Pt1 Pt 0.0000 0.0000 0.0000 1
Rh1 Rh 0.5000 0.5000 0.5000 1